Version a
{"formula": "CsLiHg3", "functional": "PBE", "state": "optimized geometry", "lattice_angstrom": [[-4.314, -3.311, -0.780], [3.077, -4.336, 1.386], [-1.451, 0.652, 5.259]], "species": ["Cs", "Hg", "Hg", "Hg", "Li"], "fractional_positions": [[0.500, 0.500, 0.500], [0.000, 0.500, 0.000], [0.000, 0.000, 0.500], [0.500, 0.000, 0.000], [0.000, 0.000, 0.000]], "dos_at_fermi_per_ev_fu": 3.7, "space_group": "Pm-3m (221)", "crystal_system": "cubic"}

Version b
{"formula": "CsLiHg3", "functional": "PBE", "state": "optimized geometry", "lattice_angstrom": [[5.934, -0.034, 0.141], [-0.053, 6.635, 3.480], [0.078, -0.026, 8.052]], "species": ["Cs", "Cs", "Li", "Li", "Hg", "Hg", "Hg", "Hg", "Hg", "Hg"], "fractional_positions": [[0.344, 0.215, 0.296], [0.344, 0.509, 0.707], [0.981, 0.759, 0.205], [0.710, 0.965, 0.798], [0.844, 0.362, 0.501], [0.212, 0.951, 0.823], [0.478, 0.774, 0.180], [0.844, 0.862, 0.501], [0.846, 0.160, 0.006], [0.843, 0.564, 0.998]], "dos_at_fermi_per_ev_fu": 2.6, "space_group": "P1 (1)", "crystal_system": "triclinic"}

Which one sits at the bottom of the stability order? version a does.

Version a
{"formula": "CsNa2LiHg", "functional": "PBE", "state": "optimized geometry", "lattice_angstrom": [[6.127, 0.000, 0.000], [0.000, 6.127, 0.000], [0.000, 0.000, 5.523]], "species": ["Cs", "Na", "Na", "Hg", "Li"], "fractional_positions": [[0.500, 0.500, 0.500], [0.000, 0.500, 0.000], [0.500, 0.000, 0.000], [0.000, 0.000, 0.000], [0.000, 0.000, 0.500]], "dos_at_fermi_per_ev_fu": 3.2, "space_group": "P4/mmm (123)", "crystal_system": "tetragonal"}

Version b
{"formula": "CsNa2LiHg", "functional": "PBE", "state": "optimized geometry", "lattice_angstrom": [[6.026, 0.000, 0.000], [0.000, 6.026, 0.000], [0.000, 0.000, 5.515]], "species": ["Cs", "Na", "Na", "Hg", "Li"], "fractional_positions": [[0.500, 0.500, 0.500], [0.000, 0.500, 0.000], [0.500, 0.000, 0.000], [0.000, 0.000, 0.500], [0.000, 0.000, 0.000]], "dos_at_fermi_per_ev_fu": 3.0, "space_group": "P4/mmm (123)", "crystal_system": "tetragonal"}

Which one sits at the bottom of the stability order? version b does.

Version a
{"formula": "CsLiHg2Pb", "functional": "PBE", "state": "optimized geometry", "lattice_angstrom": [[-0.566, 5.524, -0.127], [-0.912, -0.219, -5.474], [-5.269, -0.519, 0.898]], "species": ["Pb", "Cs", "Hg", "Hg", "Li"], "fractional_positions": [[0.000, 0.000, 0.500], [0.500, 0.500, 0.500], [0.000, 0.500, 0.000], [0.500, 0.000, 0.000], [0.000, 0.000, 0.000]], "dos_at_fermi_per_ev_fu": 2.7, "space_group": "P4/mmm (123)", "crystal_system": "tetragonal"}

Version b
{"formula": "CsLiHg2Pb", "functional": "PBE", "state": "optimized geometry", "lattice_angstrom": [[6.146, 0.000, 0.000], [0.000, 6.146, 0.000], [0.000, 0.000, 5.440]], "species": ["Pb", "Cs", "Hg", "Hg", "Li"], "fractional_positions": [[0.000, 0.000, 0.000], [0.500, 0.500, 0.500], [0.000, 0.500, 0.000], [0.500, 0.000, 0.000], [0.000, 0.000, 0.500]], "dos_at_fermi_per_ev_fu": 2.9, "space_group": "P4/mmm (123)", "crystal_system": "tetragonal"}

Which one sits at the bottom of the stability order? version a does.

Version a
{"formula": "CsRb2LiHg", "functional": "PBE", "state": "optimized geometry", "lattice_angstrom": [[7.331, 0.000, 0.000], [0.000, 7.331, 0.000], [0.000, 0.000, 5.565]], "species": ["Cs", "Hg", "Rb", "Rb", "Li"], "fractional_positions": [[0.500, 0.500, 0.500], [0.000, 0.000, 0.500], [0.000, 0.500, 0.000], [0.500, 0.000, 0.000], [0.000, 0.000, 0.000]], "dos_at_fermi_per_ev_fu": 4.0, "space_group": "P4/mmm (123)", "crystal_system": "tetragonal"}

Version b
{"formula": "CsRb2LiHg", "functional": "PBE", "state": "optimized geometry", "lattice_angstrom": [[7.247, 0.000, 0.000], [0.000, 7.247, 0.000], [0.000, 0.000, 5.733]], "species": ["Cs", "Hg", "Rb", "Rb", "Li"], "fractional_positions": [[0.500, 0.500, 0.500], [0.000, 0.000, 0.000], [0.000, 0.500, 0.000], [0.500, 0.000, 0.000], [0.000, 0.000, 0.500]], "dos_at_fermi_per_ev_fu": 3.9, "space_group": "P4/mmm (123)", "crystal_system": "tetragonal"}

Which one sits at the bottom of the stability order? version a does.

Version a
{"formula": "CsLiTl2Hg", "functional": "PBE", "state": "optimized geometry", "lattice_angstrom": [[-4.398, -3.866, 0.866], [0.694, -2.026, -5.519], [3.692, -3.785, 1.854]], "species": ["Cs", "Tl", "Tl", "Hg", "Li"], "fractional_positions": [[0.500, 0.500, 0.500], [0.000, 0.500, 0.000], [0.500, 0.000, 0.000], [0.000, 0.000, 0.000], [0.000, 0.000, 0.500]], "dos_at_fermi_per_ev_fu": 4.2, "space_group": "P4/mmm (123)", "crystal_system": "tetragonal"}

Version b
{"formula": "CsLiTl2Hg", "functional": "PBE", "state": "optimized geometry", "lattice_angstrom": [[-2.725, 3.746, -2.964], [0.301, -3.271, -4.411], [-4.827, -2.378, 1.433]], "species": ["Cs", "Tl", "Tl", "Hg", "Li"], "fractional_positions": [[0.500, 0.500, 0.500], [0.000, 0.500, 0.000], [0.500, 0.000, 0.000], [0.000, 0.000, 0.500], [0.000, 0.000, 0.000]], "dos_at_fermi_per_ev_fu": 2.5, "space_group": "P4/mmm (123)", "crystal_system": "tetragonal"}

Which one sits at the bottom of the stability order? version a does.

Version a
{"formula": "CsMg3Hg", "functional": "PBE", "state": "optimized geometry", "lattice_angstrom": [[-4.498, -2.377, 6.154], [5.341, -5.685, 1.708], [3.873, 5.079, 4.792]], "species": ["Cs", "Mg", "Mg", "Mg", "Hg"], "fractional_positions": [[0.000, 0.000, 0.000], [0.000, 0.500, 0.000], [0.000, 0.000, 0.500], [0.500, 0.000, 0.000], [0.500, 0.500, 0.500]], "dos_at_fermi_per_ev_fu": 5.9, "space_group": "Pm-3m (221)", "crystal_system": "cubic"}

Version b
{"formula": "CsMg3Hg", "functional": "PBE", "state": "optimized geometry", "lattice_angstrom": [[-0.621, -2.646, -4.827], [-2.324, -4.278, 2.643], [-4.990, 2.321, -0.631]], "species": ["Cs", "Mg", "Mg", "Mg", "Hg"], "fractional_positions": [[0.500, 0.500, 0.500], [0.000, 0.500, 0.000], [0.000, 0.000, 0.500], [0.500, 0.000, 0.000], [0.000, 0.000, 0.000]], "dos_at_fermi_per_ev_fu": 3.3, "space_group": "Pm-3m (221)", "crystal_system": "cubic"}

Which one sits at the bottom of the stability order? version a does.

Version a
{"formula": "CsMgSnHg2", "functional": "PBE", "state": "optimized geometry", "lattice_angstrom": [[-0.690, -5.631, 2.194], [5.076, 0.658, 3.287], [-2.991, 2.010, 4.217]], "species": ["Cs", "Mg", "Hg", "Hg", "Sn"], "fractional_positions": [[0.500, 0.500, 0.500], [0.000, 0.000, 0.500], [0.000, 0.500, 0.000], [0.500, 0.000, 0.000], [0.000, 0.000, 0.000]], "dos_at_fermi_per_ev_fu": 2.9, "space_group": "P4/mmm (123)", "crystal_system": "tetragonal"}

Version b
{"formula": "CsMgSnHg2", "functional": "PBE", "state": "optimized geometry", "lattice_angstrom": [[5.790, 0.000, 0.000], [0.000, 5.790, 0.000], [0.000, 0.000, 5.518]], "species": ["Cs", "Mg", "Hg", "Hg", "Sn"], "fractional_positions": [[0.500, 0.500, 0.500], [0.000, 0.000, 0.000], [0.000, 0.500, 0.000], [0.500, 0.000, 0.000], [0.000, 0.000, 0.500]], "dos_at_fermi_per_ev_fu": 3.8, "space_group": "P4/mmm (123)", "crystal_system": "tetragonal"}

Which one sits at the bottom of the stability order? version a does.

Version a
{"formula": "CsMn3Hg", "functional": "PBE", "state": "optimized geometry", "lattice_angstrom": [[-0.300, 5.089, -0.476], [-3.331, 0.167, 3.884], [3.877, 0.537, 3.301]], "species": ["Cs", "Mn", "Mn", "Mn", "Hg"], "fractional_positions": [[0.000, 0.000, 0.000], [0.000, 0.500, 0.000], [0.000, 0.000, 0.500], [0.500, 0.000, 0.000], [0.500, 0.500, 0.500]], "dos_at_fermi_per_ev_fu": 7.7, "space_group": "Pm-3m (221)", "crystal_system": "cubic"}

Version b
{"formula": "CsMn3Hg", "functional": "PBE", "state": "optimized geometry", "lattice_angstrom": [[-4.273, -1.450, -2.851], [3.065, -0.496, -4.341], [0.915, -5.113, 1.230]], "species": ["Cs", "Mn", "Mn", "Mn", "Hg"], "fractional_positions": [[0.500, 0.500, 0.500], [0.000, 0.500, 0.000], [0.000, 0.000, 0.500], [0.500, 0.000, 0.000], [0.000, 0.000, 0.000]], "dos_at_fermi_per_ev_fu": 6.1, "space_group": "Pm-3m (221)", "crystal_system": "cubic"}

Which one sits at the bottom of the stability order? version a does.